Entry 1:
VASP calculation (PBE-GGA) on crystalline AcFeSi2 at its relaxed geometry.

POSCAR file:
```
AcFeSi2
1.0
7.1136 0.0000 0.0000
0.0000 4.1690 0.0000
0.0000 0.0000 10.4212
Ac Fe Si
4 4 8
Cartesian
1.1118 1.0423 1.2322 Ac
2.4450 3.1268 6.4428 Ac
4.6686 1.0423 3.9784 Ac
6.0019 3.1268 9.1890 Ac
0.0147 3.1268 4.0316 Fe
3.5421 1.0423 9.2422 Fe
3.5715 3.1268 1.1790 Fe
7.0989 1.0423 6.3897 Fe
1.0729 1.0423 4.3566 Si
1.2462 1.0423 8.4514 Si
2.3106 3.1268 3.2408 Si
2.4839 3.1268 9.5672 Si
4.6297 1.0423 0.8540 Si
4.8031 1.0423 7.1804 Si
5.8674 3.1268 1.9698 Si
6.0407 3.1268 6.0646 Si
```

Values from the calculation:
E ... -6.3265 eV per atom
Crystal system ... orthorhombic
Uncorrected formation energy ... -472.2 meV per atom
DOS(E_F) ... 3.06 states/eV/f.u.

Entry 2:
VASP calculation (PBE-GGA) on crystalline Er2LuIn at its relaxed geometry.

POSCAR file:
```
Er2LuIn
1.0
4.7879 0.0000 0.0000
0.0000 4.7879 0.0000
0.0000 0.0000 4.7781
Er Lu In
2 1 1
Cartesian
0.0000 2.3939 0.0000 Er
2.3939 0.0000 0.0000 Er
0.0000 0.0000 2.3891 Lu
2.3939 2.3939 2.3891 In
```

Values from the calculation:
E ... -4.3537 eV per atom
Crystal system ... tetragonal
DOS(E_F) ... 4.65 states/eV/f.u.
Calculated formation energy ... -257 meV per atom

no.,total magnetic moment (μB per cell),ΔE to the lowest computed polymorph (kcal/mol of atoms)
1,0.005,1.05
2,0.000,0.00